Record 1
This record from the Alexandria database describes a geometry-optimized Cu6OF11 structure. The functional is PBE.

CIF file:
```
data_Cu6OF11
_space_group_name_H-M_alt 'P 1'
_space_group_IT_number 1
_cell_length_a 4.670
_cell_length_b 5.553
_cell_length_c 7.972
_cell_angle_alpha 86.98
_cell_angle_beta 87.64
_cell_angle_gamma 89.43
loop_
_space_group_symop_operation_xyz
'x,y,z'
loop_
_atom_site_label
_atom_site_type_symbol
_atom_site_fract_x
_atom_site_fract_y
_atom_site_fract_z
Cu1 Cu 0.000 0.000 0.000
Cu2 Cu 0.004 0.337 0.670
Cu3 Cu 0.492 0.504 0.005
Cu4 Cu 0.511 0.154 0.340
Cu5 Cu 0.521 0.833 0.656
Cu6 Cu 0.984 0.680 0.342
O1 O 0.702 0.875 0.436
F1 F 0.189 0.961 0.235
F2 F 0.198 0.300 0.910
F3 F 0.203 0.628 0.581
F4 F 0.290 0.468 0.244
F5 F 0.302 0.136 0.570
F6 F 0.311 0.805 0.894
F7 F 0.693 0.203 0.104
F8 F 0.699 0.533 0.772
F9 F 0.794 0.707 0.089
F10 F 0.797 0.384 0.435
F11 F 0.810 0.041 0.768
```

Computed properties:
ΔE to the lowest computed polymorph	7.0	meV/atom
calculated total energy	-4.18	eV per atom
uncorrected formation energy	-1.40	eV per atom
crystal system	triclinic

Record 2
This record from the Alexandria database describes a geometry-optimized PrLuSn structure. The functional is PBE.

CIF file:
```
data_PrLuSn
_space_group_name_H-M_alt 'I 4 m m'
_space_group_IT_number 107
_space_group_name_Hall 'I 4 -2'
_cell_length_a 3.589
_cell_length_b 3.589
_cell_length_c 13.871
_cell_angle_alpha 90.00
_cell_angle_beta 90.00
_cell_angle_gamma 90.00
loop_
_atom_site_label
_atom_site_type_symbol
_atom_site_fract_x
_atom_site_fract_y
_atom_site_fract_z
Pr1 Pr 0.000 0.000 0.000
Lu1 Lu 0.000 0.000 0.694
Sn1 Sn 0.000 0.000 0.339
```

Computed properties:
calculated total energy	-4.83	eV per atom
crystal system	tetragonal

Record 3
This record from the Alexandria database describes a geometry-optimized Sc3Hg4 structure. The functional is PBE.

CIF file:
```
data_Sc3Hg4
_space_group_name_H-M_alt 'R -3 m'
_space_group_IT_number 166
_space_group_name_Hall '-R 3 2"'
_cell_length_a 4.8710
_cell_length_b 4.8710
_cell_length_c 24.3339
_cell_angle_alpha 90.00
_cell_angle_beta 90.00
_cell_angle_gamma 120.00
loop_
_atom_site_label
_atom_site_type_symbol
_atom_site_fract_x
_atom_site_fract_y
_atom_site_fract_z
Sc1 Sc 0.0000 0.0000 0.0000
Sc2 Sc 0.0000 0.0000 0.2476
Hg1 Hg 0.0000 0.0000 0.1271
Hg2 Hg 0.0000 0.0000 0.3782
```

Computed properties:
ΔE to the lowest computed polymorph	0.0	meV/atom
calculated total energy	-3.16	eV per atom
crystal system	trigonal

Record 4
This record from the Alexandria database describes a geometry-optimized Sr2ZnGaAg6 structure. The functional is PBE.

CIF file:
```
data_Sr2ZnGaAg6
_space_group_name_H-M_alt 'C 1 2/m 1'
_space_group_IT_number 12
_cell_length_a 13.000
_cell_length_b 5.785
_cell_length_c 8.802
_cell_angle_alpha 90.00
_cell_angle_beta 132.59
_cell_angle_gamma 90.00
loop_
_space_group_symop_operation_xyz
'x,y,z'
'-x,-y,-z'
'-x,y,-z'
'x,-y,z'
'x+1/2,y+1/2,z'
'-x+1/2,-y+1/2,-z'
'-x+1/2,y+1/2,-z'
'x+1/2,-y+1/2,z'
loop_
_atom_site_label
_atom_site_type_symbol
_atom_site_fract_x
_atom_site_fract_y
_atom_site_fract_z
Sr1 Sr 0.248 0.000 0.205
Zn1 Zn 0.000 0.000 0.500
Ga1 Ga 0.000 0.500 0.000
Ag1 Ag 0.011 0.249 0.260
Ag2 Ag 0.249 0.000 0.602
```

Computed properties:
calculated total energy	-2.64	eV per atom
crystal system	monoclinic

Record 5
This record from the Alexandria database describes a geometry-optimized Ti2GaCl6 structure. The functional is PBE.

CIF file:
```
data_Ti2GaCl6
_space_group_name_H-M_alt 'C 1 2/m 1'
_space_group_IT_number 12
_cell_length_a 15.158
_cell_length_b 4.968
_cell_length_c 7.259
_cell_angle_alpha 90.00
_cell_angle_beta 101.72
_cell_angle_gamma 90.00
loop_
_space_group_symop_operation_xyz
'x,y,z'
'-x,-y,-z'
'-x,y,-z'
'x,-y,z'
'x+1/2,y+1/2,z'
'-x+1/2,-y+1/2,-z'
'-x+1/2,y+1/2,-z'
'x+1/2,-y+1/2,z'
loop_
_atom_site_label
_atom_site_type_symbol
_atom_site_fract_x
_atom_site_fract_y
_atom_site_fract_z
Ti1 Ti 0.250 0.000 0.132
Ga1 Ga 0.000 0.000 0.500
Cl1 Cl 0.106 0.500 0.680
Cl2 Cl 0.108 0.000 0.198
Cl3 Cl 0.246 0.000 0.808
```

Computed properties:
ΔE to the lowest computed polymorph	104.4	meV/atom
calculated total energy	-4.54	eV per atom
uncorrected formation energy	-1.22	eV per atom
crystal system	monoclinic

Record 6
This record from the Alexandria database describes a geometry-optimized LaTc2NiAs structure. The functional is PBE.

CIF file:
```
data_LaTc2NiAs
_space_group_name_H-M_alt 'P 4/m m m'
_space_group_IT_number 123
_space_group_name_Hall '-P 4 2'
_cell_length_a 4.858
_cell_length_b 4.858
_cell_length_c 4.601
_cell_angle_alpha 90.00
_cell_angle_beta 90.00
_cell_angle_gamma 90.00
loop_
_atom_site_label
_atom_site_type_symbol
_atom_site_fract_x
_atom_site_fract_y
_atom_site_fract_z
La1 La 0.000 0.000 0.000
Tc1 Tc 0.000 0.500 0.000
Ni1 Ni 0.000 0.000 0.500
As1 As 0.500 0.500 0.500
```

Computed properties:
calculated total energy	-5.36	eV per atom
crystal system	tetragonal

Record 7
This record from the Alexandria database describes a geometry-optimized TmNpPdO6 structure. The functional is PBE.

CIF file:
```
data_TmNpPdO6
_space_group_name_H-M_alt 'P -3 1 c'
_space_group_IT_number 163
_space_group_name_Hall '-P 3 2c'
_cell_length_a 5.3461
_cell_length_b 5.3461
_cell_length_c 9.9045
_cell_angle_alpha 90.00
_cell_angle_beta 90.00
_cell_angle_gamma 120.00
loop_
_atom_site_label
_atom_site_type_symbol
_atom_site_fract_x
_atom_site_fract_y
_atom_site_fract_z
Tm1 Tm 0.0000 0.0000 0.0000
Np1 Np 0.3333 0.6667 0.2500
Pd1 Pd 0.3333 0.6667 0.7500
O1 O 0.0052 0.3445 0.1335
```

Computed properties:
calculated total energy	-8.11	eV per atom
uncorrected formation energy	-2.29	eV per atom
crystal system	trigonal

Record 8
This record from the Alexandria database describes a geometry-optimized SrFePS2 structure. The functional is PBE.

CIF file:
```
data_SrFePS2
_space_group_name_H-M_alt 'P 4/m m m'
_space_group_IT_number 123
_space_group_name_Hall '-P 4 2'
_cell_length_a 4.877
_cell_length_b 4.877
_cell_length_c 4.207
_cell_angle_alpha 90.00
_cell_angle_beta 90.00
_cell_angle_gamma 90.00
loop_
_atom_site_label
_atom_site_type_symbol
_atom_site_fract_x
_atom_site_fract_y
_atom_site_fract_z
Sr1 Sr 0.000 0.000 0.000
Fe1 Fe 0.500 0.500 0.500
P1 P 0.500 0.500 0.000
S1 S 0.000 0.500 0.500
```

Computed properties:
ΔE to the lowest computed polymorph	0.0	meV/atom
calculated total energy	-5.34	eV per atom
uncorrected formation energy	-0.57	eV per atom
crystal system	tetragonal

Number 1: size of the total moment 5.04 μB per cell. Number 2: size of the total moment 0.00 μB per cell. Number 3: size of the total moment 0.00 μB per cell. Number 4: size of the total moment 0.00 μB per cell. Number 5: size of the total moment 2.71 μB per cell. Number 6: size of the total moment 2.21 μB per cell. Number 7: size of the total moment 4.07 μB per cell. Number 8: size of the total moment 1.61 μB per cell.